(1)
The following is a DFT calculation (PBE) of a relaxed ZnCSe2N crystal.

Cell lengths 6.2736, 6.2736, 2.4703 Å; angles 90.00, 90.00, 90.00 degrees
Space group P4/mmm (No. 123)
Inequivalent atoms, fractional coordinates:
Zn 0.0000 0.0000 0.0000 (multiplicity 1)
C 0.5000 0.5000 0.5000 (multiplicity 1)
Se 0.0000 0.5000 0.5000 (multiplicity 2)
N 0.5000 0.5000 0.0000 (multiplicity 1)

## Properties
- ΔE_f (raw): 0.55 eV/atom
- Energy above the lowest structure with this stoichiometry: 0.0 meV per atom
- Magnetization: 0.00 Bohr magnetons per cell

***

(2)
The following is a DFT calculation (PBE) of a relaxed ZnCSe2N crystal.

Cell lengths 5.0100, 5.0100, 3.6793 Å; angles 90.00, 90.00, 90.00 degrees
Space group P4/mmm (No. 123)
Inequivalent atoms, fractional coordinates:
Zn 0.0000 0.0000 0.0000 (multiplicity 1)
C 0.5000 0.5000 0.5000 (multiplicity 1)
Se 0.0000 0.5000 0.0000 (multiplicity 2)
N 0.0000 0.0000 0.5000 (multiplicity 1)

## Properties
- ΔE_f (raw): 2.17 eV/atom
- Energy above the lowest structure with this stoichiometry: 1612.6 meV per atom
- Magnetization: 1.81 Bohr magnetons per cell

***

(3)
The following is a DFT calculation (PBE) of a relaxed Zr6C2SeN3 crystal.

Cell lengths 14.7132, 3.3841, 6.9465 Å; angles 90.00, 102.81, 90.00 degrees
Space group C2/m (No. 12)
Inequivalent atoms, fractional coordinates:
Zr 0.0016 0.0000 0.2926 (multiplicity 4)
Zr 0.1681 0.5000 0.5763 (multiplicity 4)
Zr 0.1831 0.5000 0.1121 (multiplicity 4)
C 0.1679 0.0000 0.3338 (multiplicity 4)
Se 0.0000 0.5000 0.0000 (multiplicity 2)
N 0.0000 0.5000 0.5000 (multiplicity 2)
N 0.1662 0.0000 0.8327 (multiplicity 4)

## Properties
- ΔE_f (raw): -1.20 eV/atom
- Magnetization: 0.00 Bohr magnetons per cell